Entry 1:
DFT (PBE) results for a relaxed structure of LiCeSn2Au4.

CIF file:
```
data_LiCeSn2Au4
_symmetry_space_group_name_H-M 'R -3 m'
_symmetry_Int_Tables_number 166
_symmetry_space_group_name_Hall '-R 3 2"'
_cell_length_a 4.7262
_cell_length_b 4.7262
_cell_length_c 25.9977
_cell_angle_alpha 90.00
_cell_angle_beta 90.00
_cell_angle_gamma 120.00
loop_
_atom_site_label
_atom_site_type_symbol
_atom_site_fract_x
_atom_site_fract_y
_atom_site_fract_z
Li1 Li 0.0000 0.0000 0.0000
Ce1 Ce 0.0000 0.0000 0.5000
Sn1 Sn 0.0000 0.0000 0.2546
Au1 Au 0.0000 0.0000 0.1089
Au2 Au 0.0000 0.0000 0.3640
```

Computed properties:
Energy of formation from the pure elements ... -509 meV/atom



Entry 2:
DFT (PBE) results for a relaxed structure of LaTiCrSb2.

CIF file:
```
data_LaTiCrSb2
_symmetry_space_group_name_H-M 'P 4/m m m'
_symmetry_Int_Tables_number 123
_symmetry_space_group_name_Hall '-P 4 2'
_cell_length_a 5.3286
_cell_length_b 5.3286
_cell_length_c 4.5714
_cell_angle_alpha 90.00
_cell_angle_beta 90.00
_cell_angle_gamma 90.00
loop_
_atom_site_label
_atom_site_type_symbol
_atom_site_fract_x
_atom_site_fract_y
_atom_site_fract_z
La1 La 0.0000 0.0000 0.0000
Ti1 Ti 0.5000 0.5000 0.5000
Cr1 Cr 0.5000 0.5000 0.0000
Sb1 Sb 0.0000 0.5000 0.5000
```

Computed properties:
Formation energy without anion corrections ... -48 meV per atom



Entry 3:
DFT (PBE) results for a relaxed structure of Sm3Dy12Zr.

CIF file:
```
data_Sm3Dy12Zr
_symmetry_space_group_name_H-M 'P 4/m m m'
_symmetry_Int_Tables_number 123
_symmetry_space_group_name_Hall '-P 4 2'
_cell_length_a 4.9979
_cell_length_b 4.9979
_cell_length_c 19.9663
_cell_angle_alpha 90.00
_cell_angle_beta 90.00
_cell_angle_gamma 90.00
loop_
_atom_site_label
_atom_site_type_symbol
_atom_site_fract_x
_atom_site_fract_y
_atom_site_fract_z
Sm1 Sm 0.0000 0.0000 0.0000
Sm2 Sm 0.0000 0.0000 0.2526
Dy1 Dy 0.0000 0.5000 0.1273
Dy2 Dy 0.0000 0.5000 0.3831
Dy3 Dy 0.5000 0.5000 0.0000
Dy4 Dy 0.5000 0.5000 0.2539
Dy5 Dy 0.5000 0.5000 0.5000
Zr1 Zr 0.0000 0.0000 0.5000
```

Computed properties:
Energy of formation from the pure elements ... 36 meV/atom



Number 1: mass density 11.61 g/cm³. Number 2: mass density 6.17 g/cm³. Number 3: mass density 8.30 g/cm³.